Below is crystalline CeSmI2 at its relaxed geometry, with properties calculated at the PBE level.

Energy above the most stable polymorph in this dataset: 0.47 eV/f.u.
Raw formation energy: -0.66 eV per atom
Uncorrected energy: -16.39 eV for the cell shown
DOS(E_F): 8.071 states/eV/cell

Cell lengths 3.8733, 3.8733, 11.2485 Å; angles 80.09, 80.09, 60.00 degrees
Each line ends with the local moment (μB).
Fractional coordinates of all 4 atoms:
Sm 0.5000 0.5000 0.5000  0.03
Ce 0.0000 0.0000 0.0000  1.25
I 0.9018 0.9018 0.2947  0.00
I 0.0982 0.0982 0.7053  0.00

Below is crystalline LiZrFe2Se at its relaxed geometry, with properties calculated at the PBE level.

Raw formation energy: 1.24 eV per atom
Uncorrected energy: -24.67 eV for the cell shown
DOS(E_F): 4.004 states/eV/cell

Cell lengths 4.5792, 5.2772, 4.5792 Å; angles 90.00, 90.00, 90.00 degrees
Each line ends with the local moment (μB).
Fractional coordinates of all 5 atoms:
Se 0.5000 0.5000 0.5000  0.06
Fe 0.0000 0.0000 0.5000  2.13
Fe 0.5000 0.0000 0.0000  2.06
Zr 0.0000 0.0000 0.0000  -0.81
Li 0.0000 0.5000 0.0000  -0.07

Below is crystalline NpS2I at its relaxed geometry, with properties calculated at the PBE level.

Energy above the most stable polymorph in this dataset: 0.17 eV/f.u.
Raw formation energy: -0.78 eV per atom
Uncorrected energy: -25.86 eV for the cell shown
DOS(E_F): 10.216 states/eV/cell

Cell lengths 3.9151, 3.9150, 10.7004 Å; angles 89.98, 89.98, 60.00 degrees
Each line ends with the local moment (μB).
Fractional coordinates of all 4 atoms:
Np 0.1986 0.1986 0.3223  3.14
S 0.5320 0.5321 0.1924  -0.14
S 0.8652 0.8652 0.4518  -0.14
I 0.5326 0.5324 0.8054  -0.08

Below is crystalline CaBe2 at its relaxed geometry, with properties calculated at the PBE level.

Energy above the most stable polymorph in this dataset: 0.52 eV/f.u.
Uncorrected energy: -8.39 eV for the cell shown
DOS(E_F): 1.395 states/eV/cell
Energy of formation from the pure elements: 0.354 eV per atom

Cell lengths 3.9280, 3.9280, 4.0779 Å; angles 90.00, 90.00, 120.00 degrees
Fractional coordinates of all 3 atoms:
Be 0.6667 0.3333 0.5000
Be 0.3333 0.6667 0.5000
Ca 0.0000 0.0000 0.0000

Below is crystalline CaBP2 at its relaxed geometry, with properties calculated at the PBE level.

Uncorrected energy: -42.39 eV for the cell shown
DOS(E_F): 1.309 states/eV/cell
Energy of formation from the pure elements: -0.424 eV per atom

Cell lengths 6.3450, 6.3450, 5.5980 Å; angles 55.48, 55.48, 90.00 degrees
Fractional coordinates of all 8 atoms:
Ca 0.0000 0.0000 0.0000
Ca 0.7500 0.2500 0.5000
P 0.3750 0.4819 0.7500
P 0.2319 0.6250 0.2500
P 0.8750 0.7681 0.7500
P 0.5181 0.1250 0.2500
B 0.2500 0.7500 0.5000
B 0.5000 0.5000 0.0000

Below is crystalline KTlP3 at its relaxed geometry, with properties calculated at the PBE level.

Energy above the most stable polymorph in this dataset: 3.57 eV/f.u.
Uncorrected energy: -11.54 eV for the cell shown
DOS(E_F): 7.133 states/eV/cell
Energy of formation from the pure elements: 1.631 eV per atom

Cell lengths 5.4317, 5.4317, 5.4317 Å; angles 90.00, 90.00, 90.00 degrees
Fractional coordinates of all 5 atoms:
P 0.0000 0.5000 0.0000
P 0.0000 0.0000 0.5000
P 0.5000 0.0000 0.0000
Tl 0.5000 0.5000 0.5000
K 0.0000 0.0000 0.0000

Below is crystalline SbPbAu at its relaxed geometry, with properties calculated at the PBE level.

Energy above the most stable polymorph in this dataset: 0.12 eV/f.u.
Raw formation energy: -0.05 eV per atom
Uncorrected energy: -22.49 eV for the cell shown
DOS(E_F): 2.609 states/eV/cell

Cell lengths 4.4462, 4.6852, 8.8925 Å; angles 107.65, 104.48, 90.00 degrees
Fractional coordinates of all 6 atoms:
Au 0.5835 0.1712 0.1670
Au 0.8375 0.9056 0.6750
Sb 0.7505 0.3050 0.5010
Sb 0.9962 0.9021 0.9923
Pb 0.4268 0.3427 0.8535
Pb 0.1718 0.6316 0.3437

Below is crystalline AsPd2Au at its relaxed geometry, with properties calculated at the PBE level.

Uncorrected energy: -19.14 eV for the cell shown
DOS(E_F): 1.802 states/eV/cell
Energy of formation from the pure elements: -0.206 eV per atom

Cell lengths 3.1608, 3.1608, 6.5931 Å; angles 90.00, 90.00, 90.00 degrees
Fractional coordinates of all 4 atoms:
Au 0.5000 0.5000 0.5000
As 0.5000 0.5000 0.0000
Pd 0.0000 0.0000 0.7731
Pd 0.0000 0.0000 0.2269

Below is crystalline PaFeCo at its relaxed geometry, with properties calculated at the PBE level.

Energy above the most stable polymorph in this dataset: 0.38 eV/f.u.
Uncorrected energy: -51.06 eV for the cell shown
DOS(E_F): 2.754 states/eV/cell
Energy of formation from the pure elements: -0.155 eV per atom

Cell lengths 4.3051, 5.5148, 4.3690 Å; angles 90.00, 119.52, 90.00 degrees
Fractional coordinates of all 6 atoms:
Co 0.0000 0.5000 0.0000
Co 0.0000 0.0000 0.0000
Pa 0.6657 0.2500 0.3315
Pa 0.3343 0.7500 0.6685
Fe 0.3565 0.2500 0.7129
Fe 0.6435 0.7500 0.2871

Below is crystalline MgTcPd2 at its relaxed geometry, with properties calculated at the PBE level.

Energy above the most stable polymorph in this dataset: 1.58 eV/f.u.
Uncorrected energy: -41.74 eV for the cell shown
DOS(E_F): 7.032 states/eV/cell
Energy of formation from the pure elements: 0.370 eV per atom

Cell lengths 3.8895, 3.8895, 9.3361 Å; angles 77.98, 77.98, 90.00 degrees
Fractional coordinates of all 8 atoms:
Pd 0.1207 0.6250 0.2500
Pd 0.3750 0.3707 0.7500
Pd 0.6293 0.1250 0.2500
Pd 0.8750 0.8793 0.7500
Tc 0.7500 0.2500 0.5000
Tc 0.0000 0.0000 0.0000
Mg 0.2500 0.7500 0.5000
Mg 0.5000 0.5000 0.0000

Below is crystalline HgAsSeI at its relaxed geometry, with properties calculated at the PBE level.

Raw formation energy: -0.06 eV per atom
Uncorrected energy: -10.22 eV for the cell shown

Cell lengths 4.4753, 4.4753, 8.2719 Å; angles 90.45, 90.45, 60.98 degrees
Fractional coordinates of all 4 atoms:
I 0.9059 0.9059 0.6593
As 0.2401 0.2401 0.1543
Hg 0.2373 0.2373 0.4677
Se 0.5738 0.5738 0.1027

Below is crystalline Na2Li2Ir at its relaxed geometry, with properties calculated at the PBE level.

Uncorrected energy: -27.61 eV for the cell shown
DOS(E_F): 5.616 states/eV/cell
Energy of formation from the pure elements: 0.305 eV per atom

Cell lengths 6.4197, 6.4197, 4.8913 Å; angles 90.00, 90.00, 90.00 degrees
Fractional coordinates of all 10 atoms:
Na 0.6957 0.8043 0.5000
Na 0.1957 0.6957 0.5000
Na 0.3043 0.1957 0.5000
Na 0.8043 0.3043 0.5000
Li 0.6500 0.1500 0.0000
Li 0.1500 0.3500 0.0000
Li 0.8500 0.6500 0.0000
Li 0.3500 0.8500 0.0000
Ir 0.0000 0.0000 0.0000
Ir 0.5000 0.5000 0.0000

| no. | total magnetic moment (μB per cell) |
| --- | --- |
| 1 | 1.9 |
| 2 | 3.1 |
| 3 | 2.8 |
| 4 | 0.0 |
| 5 | 0.0 |
| 6 | 0.0 |
| 7 | 0.0 |
| 8 | 0.0 |
| 9 | 0.0 |
| 10 | 0.0 |
| 11 | 0.0 |
| 12 | 0.0 |